## AgPt2 (PBE)

Data for a relaxed AgPt2 crystal.

- DOS(E_F): 1.13 states/eV/cell
- DFT total energy: -29.8 eV per cell
- Relative energy among the computed polymorphs: 0.017 eV per atom
- Calculated formation energy: 9 meV/atom

abc: 5.295 5.295 5.295
angles: 60.00 60.00 60.00
Positions (direct):
Pt 0.500 0.000 0.500
Ag 0.125 0.125 0.125
Pt 0.000 0.500 0.500
Pt 0.500 0.500 0.000
Pt 0.500 0.500 0.500
Ag 0.875 0.875 0.875

***

## LaThRhSe (PBE)

Data for a relaxed LaThRhSe crystal.

- DOS(E_F): 1.34 states/eV/cell
- Uncorrected formation energy: -480.4 kJ/mol of formula units
- DFT total energy: -28.2 eV per cell

abc: 4.094 4.094 7.979
angles: 90.00 104.86 120.00
Positions (direct):
La 0.488 0.142 0.646
Rh 0.313 0.555 0.883
Se 0.963 0.380 0.358
Th 0.113 0.954 0.083

***

## PIrOsS2 (PBE)

Data for a relaxed PIrOsS2 crystal.

- DOS(E_F): 5.21 states/eV/cell
- Uncorrected formation energy: 708.9 kJ/mol of formula units
- DFT total energy: -26.4 eV per cell
- Relative energy among the computed polymorphs: 0.193 eV per atom

abc: 4.598 4.598 4.441
angles: 90.00 90.00 90.00
Each line ends with the local moment (μB).
Positions (direct):
S 0.500 0.000 0.000  -0.01
S 0.000 0.500 0.000  -0.01
Os 0.500 0.500 0.500  0.88
P 0.000 0.000 0.500  -0.05
Ir 0.000 0.000 0.000  -0.01

***

## TlTcPt2 (PBE)

Data for a relaxed TlTcPt2 crystal.

- DOS(E_F): 2.43 states/eV/cell
- DFT total energy: -23.7 eV per cell
- Relative energy among the computed polymorphs: 0.185 eV per atom
- Calculated formation energy: 274 meV/atom

abc: 5.704 5.704 5.704
angles: 151.22 128.29 60.25
Each line ends with the local moment (μB).
Positions (direct):
Pt 0.006 0.006 0.000  0.05
Pt 0.258 0.758 0.500  0.06
Tl 0.748 0.248 0.500  -0.01
Tc 0.488 0.488 0.000  0.91

***

## Ga2NCl (PBE)

Data for a relaxed Ga2NCl crystal.

- DOS(E_F): 0.05 states/eV/cell
- Uncorrected formation energy: 11.9 kJ/mol of formula units
- DFT total energy: -32.2 eV per cell
- Relative energy among the computed polymorphs: 0.000 eV per atom

abc: 5.179 5.179 6.994
angles: 68.27 68.27 90.00
Positions (direct):
Ga 0.281 0.625 0.250
N 0.250 0.750 0.500
Cl 0.750 0.250 0.500
Ga 0.469 0.125 0.250
N 0.500 0.500 0.000
Ga 0.875 0.719 0.750
Ga 0.375 0.531 0.750
Cl 0.000 0.000 0.000